VGa2RhCl: optimized geometry, PBE.

a = 5.1045 Å, b = 4.4180 Å, c = 5.1045 Å
α = 90.00°, β = 90.00°, γ = 90.00°
Last column: magnetic moment on the atom in μB.
Fractional coordinates of all 5 atoms:
Cl (0.5000, 0.5000, 0.5000)  0.10
Rh (0.0000, 0.5000, 0.0000)  0.03
Ga (0.0000, 0.0000, 0.5000)  0.10
Ga (0.5000, 0.0000, 0.0000)  0.07
V (0.0000, 0.0000, 0.0000)  1.70

Results
Magnetic moment: 2.54 μB/cell
Formation energy without anion corrections: 0.483 eV/atom
Uncorrected energy: -4.3916 eV per atom